The following is a DFT calculation (PBE) of CdAg2Te after structural relaxation.

Cell and atoms, written as POSCAR:
```
CdAg2Te
1.0
3.133 0.000 0.000
-1.566 2.713 0.000
0.000 0.000 31.835
Cd Ag Te
3 6 3
Direct
0.000 0.000 0.000 Cd
0.333 0.667 0.667 Cd
0.667 0.333 0.333 Cd
0.000 0.000 0.479 Ag
0.000 0.000 0.741 Ag
0.333 0.667 0.146 Ag
0.333 0.667 0.408 Ag
0.667 0.333 0.075 Ag
0.667 0.333 0.813 Ag
0.000 0.000 0.227 Te
0.333 0.667 0.894 Te
0.667 0.333 0.561 Te
```

Summary:
E above lowest polymorph: 0.117 eV/atom
Total energy: -27.901 eV for the cell shown
N(E_F): 1.90 states/eV/f.u.